Entry 1:
Density functional theory data (PBE-GGA) for a relaxed Ni3Te crystal.

POSCAR file:
```
Ni3Te
1.0
3.265 0.000 0.000
0.000 3.324 0.000
0.000 0.000 5.096
Ni Te
3 1
Cartesian
0.000 0.000 0.000
1.632 1.662 1.212
1.632 1.662 3.885
0.000 0.000 2.548
```

E = -4.980 eV/atom
E_form (uncorrected) = 141 meV per atom
N(E_F) = 3.1 states/eV/f.u.
size of the total moment = 0.0000 μB per atom


Entry 2:
Density functional theory data (PBE-GGA) for a relaxed Ni2Te crystal.

POSCAR file:
```
Ni2Te
1.0
3.221 0.000 0.000
0.000 6.937 0.000
0.000 0.000 4.247
Ni Te
4 2
Cartesian
0.766 1.108 0.000
0.844 4.577 2.123
2.376 2.360 2.123
2.455 5.829 0.000
0.000 0.000 2.123
1.610 3.469 0.000
```

E = -4.697 eV/atom
E_form (uncorrected) = 204 meV per atom
N(E_F) = 2.7 states/eV/f.u.
size of the total moment = 0.0000 μB per atom


Entry 3:
Density functional theory data (PBE-GGA) for a relaxed NiTe2 crystal.

POSCAR file:
```
NiTe2
1.0
6.385 -1.905 0.000
6.385 1.905 0.000
-2.502 0.000 7.040
Ni Te
2 4
Cartesian
0.000 0.000 0.000
6.654 0.000 1.597
1.975 0.000 1.629
1.535 0.000 4.513
4.159 0.000 5.520
11.449 0.000 2.201
```

E = -4.032 eV/atom
E_form (uncorrected) = -11 meV per atom
N(E_F) = 2.1 states/eV/f.u.
size of the total moment = 0.0000 μB per atom


What did the second record say?
Density functional theory data (PBE-GGA) for a relaxed Ni2Te crystal.

POSCAR file:
```
Ni2Te
1.0
3.221 0.000 0.000
0.000 6.937 0.000
0.000 0.000 4.247
Ni Te
4 2
Cartesian
0.766 1.108 0.000
0.844 4.577 2.123
2.376 2.360 2.123
2.455 5.829 0.000
0.000 0.000 2.123
1.610 3.469 0.000
```

E = -4.697 eV/atom
E_form (uncorrected) = 204 meV per atom
N(E_F) = 2.7 states/eV/f.u.
size of the total moment = 0.0000 μB per atom